Record 1
Computed, not measured: crystalline LiTl2HgCl6 at its relaxed geometry at the GGA-PBE level of DFT.

Structure (POSCAR):
```
LiTl2HgCl6
1.0
-4.613 5.281 -1.493
-2.166 1.071 -6.747
-7.051 -1.799 -1.837
Cl Tl Li Hg
6 2 1 1
direct
0.586 0.147 0.259
0.147 0.007 0.259
0.449 0.693 0.771
0.692 0.087 0.772
0.008 0.586 0.258
0.086 0.449 0.771
0.019 0.019 0.942
0.545 0.545 0.367
0.316 0.314 0.056
0.813 0.814 0.560
```

Properties
**Total magnetization**: 0.27 μB/f.u.
**Formation energy from raw total energies**: -899.3 meV per atom
**ρ**: 4948 kg/m3
**SG**: P1 (1)
**Total DFT energy (no corrections)**: -2.702 eV/atom


Record 2
Computed, not measured: crystalline Li2AsRu at its relaxed geometry at the GGA-PBE level of DFT.

Structure (POSCAR):
```
Li2AsRu
1.0
8.992 0.002 0.001
8.565 2.740 0.001
8.565 1.337 2.391
Ru Li As
1 2 1
direct
0.750 0.750 0.750
0.500 0.500 0.500
0.000 0.000 0.000
0.250 0.250 0.250
```

Properties
**Total magnetization**: 0.61 μB/f.u.
**ρ**: 5358 kg/m3
**SG**: R-3m (166)
**Total DFT energy (no corrections)**: -4.381 eV/atom
**Energy relative to the elements**: 56.9 meV/atom


Record 3
Computed, not measured: crystalline Nd6Ho2Tm3Tl at its relaxed geometry at the GGA-PBE level of DFT.

Structure (POSCAR):
```
Nd6Ho2Tm3Tl
1.0
-1.804 -0.533 -5.903
-0.747 -4.740 3.919
-9.636 5.787 3.515
Nd Tm Tl Ho
6 3 1 2
direct
0.083 0.412 0.250
0.245 0.245 0.749
0.755 0.755 0.251
0.412 0.083 0.250
0.588 0.917 0.750
0.917 0.588 0.750
0.500 0.500 0.500
0.168 0.832 0.500
0.832 0.168 0.500
0.000 0.000 0.000
0.334 0.666 0.000
0.666 0.334 0.000
```

Properties
**Total magnetization**: 0.00 μB/f.u.
**ρ**: 8228 kg/m3
**SG**: C2/m (12)
**Total DFT energy (no corrections)**: -4.469 eV/atom
**Energy relative to the elements**: -7.1 meV/atom


Record 4
Computed, not measured: crystalline HfNpRh4 at its relaxed geometry at the GGA-PBE level of DFT.

Structure (POSCAR):
```
HfNpRh4
1.0
-2.272 -0.733 2.474
-4.596 -2.441 -4.945
1.764 -4.126 0.398
Rh Np Hf
4 1 1
direct
0.000 0.787 0.500
0.000 0.213 0.500
0.500 0.723 0.000
0.500 0.277 0.000
0.000 0.000 0.000
0.500 0.500 0.500
```

Properties
**Total magnetization**: 2.06 μB/f.u.
**ρ**: 12355 kg/m3
**SG**: Pmmm (47)
**Total DFT energy (no corrections)**: -9.029 eV/atom
**Energy relative to the elements**: -312.6 meV/atom